[1]
## K2Rb3Na (GGA-PBE)

Data for K2Rb3Na after structural relaxation. Values from VASP.

Values from the calculation:
Its formation energy is 0.70 kcal/mol of atoms. The total energy is -1.039 eV per atom.

Geometry as Quantum ESPRESSO input:
```
&SYSTEM
  ibrav = 0, nat = 12, ntyp = 3
/
ATOMIC_SPECIES
K 39.10 K.upf
Rb 85.47 Rb.upf
Na 22.99 Na.upf
ATOMIC_POSITIONS crystal
K 0.0000 0.0000 0.0000
K 0.0000 0.0000 0.5000
K 0.3420 0.6580 0.0000
K 0.6580 0.3420 0.0000
Rb 0.1643 0.8246 0.2567
Rb 0.1754 0.8357 0.7433
Rb 0.4956 0.4956 0.2887
Rb 0.5044 0.5044 0.7113
Rb 0.8246 0.1643 0.2567
Rb 0.8357 0.1754 0.7433
Na 0.3088 0.6912 0.5000
Na 0.6912 0.3088 0.5000
CELL_PARAMETERS angstrom
3.6880 -8.3936 0.0000
3.6880 8.3936 0.0000
-0.0195 0.0000 14.3916
```

[2]
## EuHgAs (GGA-PBE)

Data for EuHgAs after structural relaxation. Values from VASP.

Values from the calculation:
Its formation energy is 5.80 kcal/mol of atoms. The calculation puts the energy above the most stable polymorph in this dataset at 869 meV per atom. The total energy is -4.824 eV per atom.

Geometry as Quantum ESPRESSO input:
```
&SYSTEM
  ibrav = 0, nat = 6, ntyp = 3
/
ATOMIC_SPECIES
Eu 151.96 Eu.upf
Hg 200.59 Hg.upf
As 74.92 As.upf
ATOMIC_POSITIONS crystal
Eu 0.0000 0.0000 0.0000
Eu 0.5000 0.5000 0.5000
Hg 0.0000 0.0000 0.1871
Hg 0.5000 0.5000 0.6871
As 0.0000 0.0000 0.8262
As 0.5000 0.5000 0.3262
CELL_PARAMETERS angstrom
3.2080 0.0000 0.0000
0.0000 3.2080 0.0000
0.0000 0.0000 16.8406
```